{"formula": "BaNpSO2", "functional": "PBE", "state": "relaxed", "magnetic_moment_mub_per_cell": 3.00, "dft_energy_ev_per_atom": -8.350, "dos_ef_per_ev_atom": 1.639, "volume_a3_per_cell": 108, "lattice": [[4.359, 0.000, 0.000], [0.000, 4.359, 0.000], [0.000, 0.000, 5.693]], "species": ["Ba", "Np", "S", "O", "O"], "fractional_positions": [[0.000, 0.000, 0.000], [0.500, 0.500, 0.384], [0.500, 0.500, 0.868], [0.000, 0.500, 0.330], [0.500, 0.000, 0.330]]}